The following is a PBE calculation of a relaxed structure of Cu5Ag3, from OQMD.

Energy above the lowest structure with this stoichiometry, kJ per mole of atoms: 4.4
SG: No. 47
Energy of formation, kJ/mol of formula units: 72
E, eV/atom: -3.289
Mass density, Mg/m³: 9.41

abc: 3.7960 3.8682 7.7062
angles: 90.00 90.00 90.00
Last column: nearest neighbours and their distance in Å.
Sites, in units of the cell vectors:
Cu 0.0000 0.0000 0.0000  8 Cu 2.65-2.71, 4 Ag 2.65
Cu 0.0000 0.0000 0.5000  8 Ag 2.71-2.76, 4 Cu 2.82
Cu 0.0000 0.5000 0.2343  6 Cu 2.62-2.82, 6 Ag 2.71-2.79
Cu 0.0000 0.5000 0.7657  6 Cu 2.62-2.82, 6 Ag 2.71-2.79
Cu 0.5000 0.5000 0.0000  8 Cu 2.62-2.71, 4 Ag 2.68
Ag 0.5000 0.0000 0.2402  10 Cu 2.65-2.76, 2 Ag 2.78
Ag 0.5000 0.0000 0.7598  10 Cu 2.65-2.76, 2 Ag 2.78
Ag 0.5000 0.5000 0.5000  8 Cu 2.71-2.79, 4 Ag 2.78

The following is a PBE calculation of a relaxed structure of CuAg, from OQMD.

SG: No. 6
Energy of formation, kJ/mol of formula units: 18
E, eV/atom: -3.179
Mass density, Mg/m³: 9.52

abc: 6.1346 3.9150 6.2264
angles: 90.00 91.27 90.00
Last column: nearest neighbours and their distance in Å.
Sites, in units of the cell vectors:
Cu 0.0000 0.0000 0.0000  6 Cu 2.62-2.74, 6 Ag 2.65-2.86
Cu 0.0850 0.5000 0.7062  7 Cu 2.61-2.86, 5 Ag 2.63-2.76
Cu 0.1830 0.0000 0.3870  6 Ag 2.63-2.76, 6 Cu 2.64-2.86
Cu 0.2717 0.5000 0.0893  5 Cu 2.62-2.76, 6 Ag 2.67-2.81
Cu 0.8196 0.0000 0.6081  4 Cu 2.61-2.66, 5 Ag 2.74-2.91
Ag 0.3722 0.0000 0.7931  6 Cu 2.65-2.77, 5 Ag 2.79-2.88
Ag 0.4740 0.5000 0.4910  6 Cu 2.72-2.96, 6 Ag 2.77-2.89
Ag 0.5837 0.0000 0.1973  5 Cu 2.75-2.91, 7 Ag 2.77-2.85
Ag 0.7032 0.5000 0.8907  6 Cu 2.63-2.95, 6 Ag 2.83-2.88
Ag 0.9045 0.5000 0.3110  8 Cu 2.63-2.82, 4 Ag 2.85-2.89

The following is a PBE calculation of a relaxed structure of Cu4Ag3, from OQMD.

Energy above the lowest structure with this stoichiometry, kJ per mole of atoms: 3.9
SG: No. 12
Energy of formation, kJ/mol of formula units: 60
E, eV/atom: -3.245
Mass density, Mg/m³: 9.48

abc: 8.6910 3.8338 6.1267
angles: 90.00 97.25 90.00
Last column: nearest neighbours and their distance in Å.
Sites, in units of the cell vectors:
Cu 0.0716 0.0000 0.1906  6 Cu 2.50-2.75, 3 Ag 2.74-2.75
Cu 0.1363 0.5000 0.9353  8 Cu 2.58-2.80, 4 Ag 2.63-2.78
Cu 0.3637 0.0000 0.0647  8 Cu 2.58-2.80, 4 Ag 2.63-2.78
Cu 0.4284 0.5000 0.8094  6 Cu 2.50-2.75, 3 Ag 2.74-2.75
Cu 0.5716 0.5000 0.1906  6 Cu 2.50-2.75, 3 Ag 2.74-2.75
Cu 0.6363 0.0000 0.9353  8 Cu 2.58-2.80, 4 Ag 2.63-2.78
Cu 0.8637 0.5000 0.0647  8 Cu 2.58-2.80, 4 Ag 2.63-2.78
Cu 0.9284 0.0000 0.8094  6 Cu 2.50-2.75, 3 Ag 2.74-2.75
Ag 0.0000 0.5000 0.5000  6 Ag 2.77-2.79, 6 Cu 2.78-2.82
Ag 0.2149 0.0000 0.6633  6 Cu 2.63-2.75, 5 Ag 2.77-2.89
Ag 0.2851 0.5000 0.3367  6 Cu 2.63-2.75, 5 Ag 2.77-2.89
Ag 0.5000 0.0000 0.5000  6 Ag 2.77-2.79, 6 Cu 2.78-2.82
Ag 0.7149 0.5000 0.6633  6 Cu 2.63-2.75, 5 Ag 2.77-2.89
Ag 0.7851 0.0000 0.3367  6 Cu 2.63-2.75, 5 Ag 2.77-2.89

The following is a PBE calculation of a relaxed structure of CuAg, from OQMD.

SG: No. 25
Energy of formation, kJ/mol of formula units: 17
E, eV/atom: -3.182
Mass density, Mg/m³: 9.66

abc: 2.7827 3.7540 11.2877
angles: 90.00 90.00 90.00
Last column: nearest neighbours and their distance in Å.
Sites, in units of the cell vectors:
Cu 0.0000 0.0000 0.0000  5 Cu 2.44-2.64, 4 Ag 2.72
Cu 0.0000 0.0000 0.2164  5 Cu 2.44-2.64, 4 Ag 2.73
Cu 0.0000 0.0000 0.7522  9 Ag 2.72-3.03, 3 Cu 2.78-2.80
Cu 0.5000 0.5000 0.1083  2 Ag 2.62-2.63, 10 Cu 2.64-2.78
Ag 0.0000 0.0000 0.4839  10 Ag 2.78-2.84, 2 Cu 3.02-3.03
Ag 0.5000 0.5000 0.3412  5 Cu 2.63-2.73, 6 Ag 2.78-2.84
Ag 0.5000 0.5000 0.6274  4 Cu 2.73, 7 Ag 2.78-2.84
Ag 0.5000 0.5000 0.8764  9 Cu 2.62-2.72, 3 Ag 2.78-2.81

The following is a PBE calculation of a relaxed structure of Cu7Ag2, from OQMD.

Energy above the lowest structure with this stoichiometry, kJ per mole of atoms: 3.0
SG: No. 12
Energy of formation, kJ/mol of formula units: 67
E, eV/atom: -3.442
Mass density, Mg/m³: 9.25

abc: 4.5985 4.5985 7.9242
angles: 106.81 106.81 48.26
Last column: nearest neighbours and their distance in Å.
Sites, in units of the cell vectors:
Cu 0.0000 0.0000 0.0000  4 Ag 2.65, 8 Cu 2.66-2.70
Cu 0.0009 0.0009 0.3408  9 Cu 2.53-2.70, 3 Ag 2.66-2.68
Cu 0.3336 0.3336 0.1117  8 Cu 2.63-2.68, 4 Ag 2.65-2.66
Cu 0.3403 0.3403 0.4461  9 Cu 2.54-2.72, 3 Ag 2.64-2.67
Cu 0.6597 0.6597 0.5539  9 Cu 2.54-2.72, 3 Ag 2.64-2.67
Cu 0.6664 0.6664 0.8883  8 Cu 2.63-2.68, 4 Ag 2.65-2.66
Cu 0.9991 0.9991 0.6592  9 Cu 2.53-2.70, 3 Ag 2.66-2.68
Ag 0.3335 0.3335 0.7770  12 Cu 2.64-2.68
Ag 0.6665 0.6665 0.2230  12 Cu 2.64-2.68

The following is a PBE calculation of a relaxed structure of Cu4Ag5, from OQMD.

Energy above the lowest structure with this stoichiometry, kJ per mole of atoms: 5.7
SG: No. 8
Energy of formation, kJ/mol of formula units: 84
E, eV/atom: -3.124
Mass density, Mg/m³: 9.56

abc: 4.8236 4.8236 8.3227
angles: 106.36 106.36 48.42
Last column: nearest neighbours and their distance in Å.
Sites, in units of the cell vectors:
Cu 0.0000 0.0000 0.0000  5 Cu 2.60-2.81, 7 Ag 2.73-2.82
Cu 0.0073 0.0073 0.6907  4 Cu 2.60-2.81, 7 Ag 2.71-2.84
Cu 0.3426 0.3426 0.7905  7 Ag 2.69-2.84, 5 Cu 2.72-2.81
Cu 0.6673 0.6673 0.2252  10 Ag 2.70-2.88, 2 Cu 2.81
Ag 0.0073 0.0073 0.3358  5 Cu 2.75-2.95, 7 Ag 2.80-2.88
Ag 0.3372 0.3372 0.1135  7 Cu 2.70-2.82, 5 Ag 2.78-2.88
Ag 0.3443 0.3443 0.4612  5 Cu 2.75-2.88, 7 Ag 2.79-2.88
Ag 0.6636 0.6636 0.8993  9 Cu 2.69-2.84, 3 Ag 2.75-2.78
Ag 0.6791 0.6791 0.5744  6 Cu 2.75-2.88, 6 Ag 2.75-2.88

The following is a PBE calculation of a relaxed structure of Cu3Ag7, from OQMD.

Energy above the lowest structure with this stoichiometry, kJ per mole of atoms: 4.2
SG: No. 6
Energy of formation, kJ/mol of formula units: 70
E, eV/atom: -3.020
Mass density, Mg/m³: 9.74

abc: 6.9779 2.8710 8.2561
angles: 90.00 102.83 90.00
Last column: nearest neighbours and their distance in Å.
Sites, in units of the cell vectors:
Cu 0.0000 0.0000 0.0000  4 Cu 2.59-2.87, 7 Ag 2.75-2.81
Cu 0.1976 0.0000 0.5899  9 Ag 2.74-2.83, 2 Cu 2.87
Cu 0.7396 0.5000 0.1000  4 Cu 2.59-2.87, 7 Ag 2.70-2.79
Ag 0.1188 0.5000 0.2885  5 Cu 2.75-2.82, 7 Ag 2.85-2.90
Ag 0.2862 0.5000 0.8855  7 Ag 2.74-2.87, 4 Cu 2.78-2.79
Ag 0.4321 0.0000 0.1836  3 Cu 2.79-3.06, 9 Ag 2.82-2.98
Ag 0.4972 0.5000 0.5077  2 Cu 2.74, 10 Ag 2.85-2.98
Ag 0.6117 0.0000 0.8202  3 Cu 2.70-2.79, 8 Ag 2.84-2.91
Ag 0.8112 0.0000 0.3916  3 Cu 2.75-2.83, 9 Ag 2.82-2.95
Ag 0.9081 0.5000 0.6995  8 Ag 2.74-2.95, 4 Cu 2.79-2.81

The following is a PBE calculation of a relaxed structure of Cu4Ag5, from OQMD.

Energy above the lowest structure with this stoichiometry, kJ per mole of atoms: 4.4
SG: No. 8
Energy of formation, kJ/mol of formula units: 72
E, eV/atom: -3.138
Mass density, Mg/m³: 9.58

abc: 4.8908 4.8908 11.2184
angles: 112.10 112.10 33.89
Last column: nearest neighbours and their distance in Å.
Sites, in units of the cell vectors:
Cu 0.0000 0.0000 0.0000  4 Cu 2.53-2.56, 4 Ag 2.78-2.80
Cu 0.0007 0.0007 0.6508  10 Ag 2.73-2.94, 2 Cu 2.85
Cu 0.3352 0.3352 0.0877  6 Cu 2.55-2.85, 4 Ag 2.65
Cu 0.6808 0.6808 0.1843  4 Cu 2.53-2.55, 4 Ag 2.74-2.83
Ag 0.0109 0.0109 0.2916  5 Cu 2.65-2.84, 7 Ag 2.83-2.96
Ag 0.3391 0.3391 0.4176  8 Ag 2.82-2.90, 4 Cu 2.83-2.84
Ag 0.3423 0.3423 0.7705  5 Cu 2.76-2.94, 7 Ag 2.76-2.85
Ag 0.6631 0.6631 0.8819  7 Cu 2.65-2.90, 5 Ag 2.76-2.85
Ag 0.6664 0.6664 0.5405  3 Cu 2.73-2.88, 9 Ag 2.82-2.96

The following is a PBE calculation of a relaxed structure of Cu3Ag2, from OQMD.

Energy above the lowest structure with this stoichiometry, kJ per mole of atoms: 3.6
SG: No. 12
Energy of formation, kJ/mol of formula units: 38
E, eV/atom: -3.281
Mass density, Mg/m³: 9.45

abc: 5.6895 5.6895 9.2950
angles: 97.17 97.17 28.59
Last column: nearest neighbours and their distance in Å.
Sites, in units of the cell vectors:
Cu 0.0000 0.0000 0.0000  8 Ag 2.65-2.68, 2 Cu 2.81
Cu 0.1123 0.1123 0.3294  5 Cu 2.49-2.55, 4 Ag 2.70
Cu 0.1976 0.1976 0.5906  7 Cu 2.49-2.64, 2 Ag 2.74
Cu 0.5000 0.5000 0.5000  10 Cu 2.55-2.81, 2 Ag 2.72
Cu 0.8024 0.8024 0.4094  7 Cu 2.49-2.64, 2 Ag 2.74
Cu 0.8877 0.8877 0.6706  5 Cu 2.49-2.55, 4 Ag 2.70
Ag 0.3065 0.3065 0.8875  5 Cu 2.65-2.86, 6 Ag 2.81-2.93
Ag 0.4156 0.4156 0.2114  7 Cu 2.68-2.74, 4 Ag 2.81-2.87
Ag 0.5844 0.5844 0.7886  7 Cu 2.68-2.74, 4 Ag 2.81-2.87
Ag 0.6935 0.6935 0.1125  5 Cu 2.65-2.86, 6 Ag 2.81-2.93

The following is a PBE calculation of a relaxed structure of Cu5Ag3, from OQMD.

Energy above the lowest structure with this stoichiometry, kJ per mole of atoms: 0.0
SG: No. 123
Energy of formation, kJ/mol of formula units: 36
E, eV/atom: -3.335
Mass density, Mg/m³: 9.49

abc: 2.8513 2.8513 13.8096
angles: 90.00 90.00 90.00
Last column: nearest neighbours and their distance in Å.
Sites, in units of the cell vectors:
Cu 0.0000 0.0000 0.0000  8 Cu 2.50
Cu 0.0000 0.0000 0.2130  4 Cu 2.50, 4 Ag 2.72
Cu 0.0000 0.0000 0.7870  4 Cu 2.50, 4 Ag 2.72
Cu 0.5000 0.5000 0.1065  8 Cu 2.50
Cu 0.5000 0.5000 0.8935  8 Cu 2.50
Ag 0.0000 0.0000 0.5000  12 Ag 2.85-2.94
Ag 0.5000 0.5000 0.3455  4 Cu 2.72, 8 Ag 2.85-2.94
Ag 0.5000 0.5000 0.6545  4 Cu 2.72, 8 Ag 2.85-2.94

The following is a PBE calculation of a relaxed structure of CuAg, from OQMD.

SG: No. 156
Energy of formation, kJ/mol of formula units: 19
E, eV/atom: -3.174
Mass density, Mg/m³: 9.41

abc: 2.7938 2.7938 40.2883
angles: 90.00 90.00 120.00
Last column: nearest neighbours and their distance in Å.
Sites, in units of the cell vectors:
Cu 0.0000 0.0000 0.0000  12 Cu 2.54-2.79
Cu 0.0000 0.0000 0.1455  9 Cu 2.53-2.79, 3 Ag 2.75
Cu 0.0000 0.0000 0.8537  12 Cu 2.54-2.79
Cu 0.3333 0.6667 0.0487  12 Cu 2.53-2.79
Cu 0.3333 0.6667 0.7567  9 Cu 2.53-2.79, 1 Ag 2.59
Cu 0.3333 0.6667 0.9024  12 Cu 2.54-2.79
Cu 0.6667 0.3333 0.0972  12 Cu 2.53-2.79
Cu 0.6667 0.3333 0.8050  12 Cu 2.53-2.79
Cu 0.6667 0.3333 0.9511  12 Cu 2.54-2.79
Ag 0.0000 0.0000 0.2628  12 Ag 2.79-2.97
Ag 0.0000 0.0000 0.4466  12 Ag 2.79-2.94
Ag 0.0000 0.0000 0.6302  12 Ag 2.79-2.98
Ag 0.3333 0.6667 0.3243  12 Ag 2.79-2.96
Ag 0.3333 0.6667 0.5075  12 Ag 2.79-2.94
Ag 0.3333 0.6667 0.6923  1 Cu 2.59, 6 Ag 2.79
Ag 0.6667 0.3333 0.2009  3 Cu 2.75, 9 Ag 2.79-2.97
Ag 0.6667 0.3333 0.3857  12 Ag 2.79-2.95
Ag 0.6667 0.3333 0.5687  12 Ag 2.79-2.96

The following is a PBE calculation of a relaxed structure of Cu8Ag, from OQMD.

Energy above the lowest structure with this stoichiometry, kJ per mole of atoms: 0.5
SG: No. 139
Energy of formation, kJ/mol of formula units: 36
E, eV/atom: -3.576
Mass density, Mg/m³: 9.13

abc: 5.8224 5.8224 5.8224
angles: 95.70 95.70 143.27
Last column: nearest neighbours and their distance in Å.
Sites, in units of the cell vectors:
Cu 0.0000 0.3388 0.3388  11 Cu 2.52-2.62, 1 Ag 2.65
Cu 0.0000 0.6612 0.6612  11 Cu 2.52-2.62, 1 Ag 2.65
Cu 0.3275 0.3275 0.6550  10 Cu 2.51-2.70, 2 Ag 2.65
Cu 0.3275 0.6725 0.0000  10 Cu 2.51-2.70, 2 Ag 2.65
Cu 0.3388 0.0000 0.3388  11 Cu 2.52-2.62, 1 Ag 2.65
Cu 0.6612 0.0000 0.6612  11 Cu 2.52-2.62, 1 Ag 2.65
Cu 0.6725 0.3275 0.0000  10 Cu 2.51-2.70, 2 Ag 2.65
Cu 0.6725 0.6725 0.3450  10 Cu 2.51-2.70, 2 Ag 2.65
Ag 0.0000 0.0000 0.0000  12 Cu 2.65